# Y2Co2Pb, relaxed, DFT PBE-GGA
# **ΔE_f**: 0.0066 eV/atom
# **Crystal system**: tetragonal
data_Y2Co2Pb
_cell_length_a 5.360
_cell_length_b 5.360
_cell_length_c 7.672
_cell_angle_alpha 90.00
_cell_angle_beta 90.00
_cell_angle_gamma 90.00
_symmetry_space_group_name_H-M 'I 4/m m m'
_symmetry_Int_Tables_number 139
_symmetry_space_group_name_Hall '-I 4 2'
loop_
_atom_site_label
_atom_site_type_symbol
_atom_site_fract_x
_atom_site_fract_y
_atom_site_fract_z
_atom_site_occupancy
Y1 Y 0.000 0.500 0.250 1
Co1 Co 0.000 0.000 0.147 1
Pb1 Pb 0.000 0.000 0.500 1